The following is a PBE calculation of a relaxed structure of PaTiSb, from the Alexandria database.

Cell and atoms, written as CIF:
```
data_PaTiSb
_space_group_name_H-M_alt 'P 1'
_space_group_IT_number 1
_cell_length_a 3.519
_cell_length_b 4.773
_cell_length_c 4.773
_cell_angle_alpha 120.00
_cell_angle_beta 90.00
_cell_angle_gamma 90.00
loop_
_space_group_symop_operation_xyz
'x,y,z'
loop_
_atom_site_label
_atom_site_type_symbol
_atom_site_fract_x
_atom_site_fract_y
_atom_site_fract_z
Ti1 Ti 0.500 0.667 0.333
Sb1 Sb 0.500 0.333 0.667
Pa1 Pa 0.000 0.000 0.000
```

Values from the calculation:
The space group is No. 187. Its crystal system is hexagonal. For the uncorrected formation energy, the calculation gives -0.17 eV/atom. As for the volume: 23.1 Å³/atom. The value obtained for the total magnetization is 0.9 μB per formula unit. As for the energy above the lowest structure with this stoichiometry: 0.577 eV per formula unit.



The following is a PBE calculation of a relaxed structure of Tl5Zn2Te5, from the Alexandria database.

Cell and atoms, written as CIF:
```
data_Tl5Zn2Te5
_space_group_name_H-M_alt 'P 1'
_space_group_IT_number 1
_cell_length_a 4.511
_cell_length_b 8.183
_cell_length_c 12.130
_cell_angle_alpha 108.07
_cell_angle_beta 90.00
_cell_angle_gamma 106.00
loop_
_space_group_symop_operation_xyz
'x,y,z'
loop_
_atom_site_label
_atom_site_type_symbol
_atom_site_fract_x
_atom_site_fract_y
_atom_site_fract_z
Tl1 Tl 0.343 0.687 0.938
Te1 Te 0.889 0.778 0.609
Zn1 Zn 0.040 0.081 0.791
Tl2 Tl 0.500 0.000 0.500
Te2 Te 0.111 0.222 0.391
Te3 Te 0.363 0.725 0.210
Te4 Te 0.637 0.275 0.790
Tl3 Tl 0.255 0.510 0.651
Te5 Te 0.000 0.000 0.000
Zn2 Zn 0.960 0.919 0.209
Tl4 Tl 0.745 0.490 0.349
Tl5 Tl 0.657 0.313 0.062
```

Values from the calculation:
The space group is No. 12. Its crystal system is monoclinic. For the uncorrected formation energy, the calculation gives -0.30 eV/atom. As for the volume: 33.9 Å³/atom. The value obtained for the total magnetization is 0.0 μB per formula unit.